20
Lattice="-0.5257 -4.4594 3.5746 5.5888 -1.5698 -1.1363 2.6066 4.6096 6.4524" Properties=species:S:1:pos:R:3 comment="Na3WF6 | Alexandria | PBE+U | optimized geometry" m_tot_mub_per_atom=0.300 final_energy_ev_per_atom=-4.9658 pbc="T T T"
F 2.3371 -0.6574 5.9502
F 3.0999 0.9669 8.3665
F 1.7488 -0.8595 0.8448
F 4.8284 -2.0917 5.6967
F 5.3115 -4.2423 3.5626
F 2.3582 2.8228 5.3281
F 4.5698 -2.3864 0.5242
F 5.3326 -0.7621 2.9404
F 4.9439 0.8353 5.3947
F 5.9210 -0.5600 8.0459
F 2.8414 0.6722 3.1940
F 2.7258 -2.2549 3.4960
Na 1.3033 2.3048 3.2262
Na 3.9008 -1.6874 7.7721
Na 7.0041 -0.2735 5.6859
Na 2.5316 -3.0146 1.2191
Na 0.6656 -1.1461 3.2048
Na 3.7689 0.2679 1.1186
W 0.0000 0.0000 0.0000
W 3.8349 -0.7098 4.4453